(1)
## ErBRu4 (GGA-PBE)

Data for a relaxed ErBRu4 crystal.

The structure in POSCAR format:
```
ErBRu4
1.0
2.1250 -7.1214 0.0000
2.1250 7.1214 0.0000
0.0000 0.0000 5.8487
Er B Ru
2 2 8
direct
0.0903 0.9097 0.7500
0.9097 0.0903 0.2500
0.3941 0.6059 0.7500
0.6059 0.3941 0.2500
0.1181 0.8819 0.2500
0.2957 0.7043 0.0168
0.2957 0.7043 0.4832
0.5000 0.5000 0.0000
0.5000 0.5000 0.5000
0.7043 0.2957 0.5168
0.7043 0.2957 0.9832
0.8819 0.1181 0.7500
```

Calculated values
- Fermi-level density of states: 11.26 states/eV/cell
- DFT formation energy: -17 kJ/mol of atoms
- Space-group type: Cmcm

(2)
## PuPaAlGa (GGA-PBE)

Data for a relaxed PuPaAlGa crystal.

The structure in POSCAR format:
```
PuPaAlGa
1.0
7.1080 0.0000 0.0000
0.0000 7.1080 0.0000
0.0000 0.0000 7.1080
Pu Pa Al Ga
4 4 4 4
direct
0.0000 0.0000 0.0000
0.0000 0.5000 0.5000
0.5000 0.0000 0.5000
0.5000 0.5000 0.0000
0.0000 0.0000 0.5000
0.0000 0.5000 0.0000
0.5000 0.0000 0.0000
0.5000 0.5000 0.5000
0.2500 0.2500 0.7500
0.2500 0.7500 0.2500
0.7500 0.2500 0.2500
0.7500 0.7500 0.7500
0.2500 0.2500 0.2500
0.2500 0.7500 0.7500
0.7500 0.2500 0.7500
0.7500 0.7500 0.2500
```

Calculated values
- Fermi-level density of states: 30.46 states/eV/cell
- DFT formation energy: -10 kJ/mol of atoms
- Energy above the most stable polymorph in this dataset: 0.000 eV/atom
- Space-group type: F-43m

(3)
## LaSm5In2 (GGA-PBE)

Data for a relaxed LaSm5In2 crystal.

The structure in POSCAR format:
```
LaSm5In2
1.0
7.0022 0.0000 0.0000
0.0000 13.9979 0.0000
0.0000 0.0000 4.9678
La Sm In
2 10 4
direct
0.0000 0.0000 0.0000
0.5000 0.5000 0.0000
0.0000 0.5000 0.0000
0.0064 0.2511 0.0000
0.2504 0.3738 0.5000
0.2496 0.8738 0.5000
0.4936 0.7511 0.0000
0.5000 0.0000 0.0000
0.5064 0.2489 0.0000
0.7504 0.1262 0.5000
0.7496 0.6262 0.5000
0.9936 0.7489 0.0000
0.2441 0.6267 0.5000
0.2559 0.1267 0.5000
0.7441 0.8733 0.5000
0.7559 0.3733 0.5000
```

Calculated values
- Fermi-level density of states: 23.76 states/eV/cell
- DFT formation energy: -26 kJ/mol of atoms
- Energy above the most stable polymorph in this dataset: 0.000 eV/atom
- Space-group type: Pbam

(4)
## FeOsRh2 (GGA-PBE)

Data for a relaxed FeOsRh2 crystal.

The structure in POSCAR format:
```
FeOsRh2
1.0
8.8876 0.0000 0.0000
0.0000 2.6974 0.0000
-0.8625 0.0000 4.5871
Fe Os Rh
2 2 4
direct
0.0000 0.0000 0.0000
0.5000 0.5000 0.0000
0.2544 0.0000 0.7405
0.7544 0.5000 0.7405
0.0041 0.5000 0.5111
0.2470 0.5000 0.2297
0.5041 0.0000 0.5111
0.7470 0.0000 0.2297
```

Calculated values
- Fermi-level density of states: 7.68 states/eV/cell
- DFT formation energy: 4 kJ/mol of atoms
- Energy above the most stable polymorph in this dataset: 0.029 eV/atom
- Space-group type: Cm

(5)
## TaAgIrPb2 (GGA-PBE)

Data for a relaxed TaAgIrPb2 crystal.

The structure in POSCAR format:
```
TaAgIrPb2
1.0
5.1330 0.0000 0.0000
0.0000 5.1330 0.0000
0.0000 0.0000 4.9822
Ta Ag Ir Pb
1 1 1 2
direct
0.0000 0.0000 0.0000
0.5000 0.5000 0.5000
0.5000 0.5000 0.0000
0.0000 0.5000 0.5000
0.5000 0.0000 0.5000
```

Calculated values
- Fermi-level density of states: 6.85 states/eV/cell
- DFT formation energy: 168 kJ/mol of atoms
- Space-group type: P4/mmm

(6)
## TcSnAs2Br (GGA-PBE)

Data for a relaxed TcSnAs2Br crystal.

The structure in POSCAR format:
```
TcSnAs2Br
1.0
4.7720 0.0000 0.0000
0.0000 4.7720 0.0000
0.0000 0.0000 5.4698
Tc Sn As Br
1 1 2 1
direct
0.0000 0.0000 0.0000
0.5000 0.5000 0.5000
0.0000 0.5000 0.0000
0.5000 0.0000 0.0000
0.0000 0.0000 0.5000
```

Calculated values
- Fermi-level density of states: 3.83 states/eV/cell
- E_form (uncorrected): 0.309 eV per atom
- Energy above the most stable polymorph in this dataset: 0.000 eV/atom
- Space-group type: P4/mmm

(7)
## AlRh (GGA-PBE)

Data for a relaxed AlRh crystal.

The structure in POSCAR format:
```
AlRh
1.0
4.9767 0.0000 0.0000
0.0000 4.9767 0.0000
0.0000 0.0000 4.9720
Al Rh
4 4
direct
0.2081 0.2081 0.0000
0.2919 0.7081 0.5000
0.7081 0.2919 0.5000
0.7919 0.7919 0.0000
0.2100 0.2100 0.5000
0.2900 0.7100 0.0000
0.7100 0.2900 0.0000
0.7900 0.7900 0.5000
```

Calculated values
- Fermi-level density of states: 2.79 states/eV/cell
- DFT formation energy: -47 kJ/mol of atoms
- Space-group type: P4_2/mnm

(8)
## Tb2Nd6Th (GGA-PBE)

Data for a relaxed Tb2Nd6Th crystal.

The structure in POSCAR format:
```
Tb2Nd6Th
1.0
3.6387 0.0000 0.0000
-1.8194 3.1512 0.0000
0.0000 0.0000 27.2008
Tb Nd Th
2 6 1
direct
0.0000 0.0000 0.1703
0.0000 0.0000 0.8297
0.0000 0.0000 0.3915
0.0000 0.0000 0.6085
0.6667 0.3333 0.0658
0.6667 0.3333 0.2791
0.6667 0.3333 0.7209
0.6667 0.3333 0.9342
0.6667 0.3333 0.5000
```

Calculated values
- Fermi-level density of states: 15.17 states/eV/cell
- DFT formation energy: 6 kJ/mol of atoms
- Space-group type: P-6m2

| no. | total magnetic moment (μB/f.u.) |
| --- | --- |
| 1 | 0.0 |
| 2 | 5.7 |
| 3 | 0.0 |
| 4 | 3.0 |
| 5 | 0.1 |
| 6 | 0.0 |
| 7 | 0.0 |
| 8 | 0.0 |